VASP calculation (GGA-PBE) on a geometry-optimized NaTl2Ni structure.

## Properties
formation energy from the elements: 0.12 eV/atom

a = 4.1341 Å, b = 4.1341 Å, c = 20.5635 Å
α = 90.00°, β = 90.00°, γ = 120.00°
Space group R3m (No. 160, hexagonal axes)
Unique sites:
Na (0.0000, 0.0000, 0.0000)
Tl (0.0000, 0.0000, 0.5615)
Tl (0.0000, 0.0000, 0.7724)
Ni (0.0000, 0.0000, 0.1672)

VASP calculation (GGA-PBE) on a geometry-optimized Li2MnAs2Rh structure.

## Properties
formation energy from the elements: -0.56 eV/atom

a = 5.602 Å, b = 12.214 Å, c = 5.542 Å
α = 90.00°, β = 90.00°, γ = 90.00°
Space group Ibam (No. 72)
Unique sites:
Li (0.236, 0.165, 0.000)
Mn (0.000, 0.500, 0.250)
As (0.227, 0.385, 0.000)
Rh (0.000, 0.000, 0.250)

VASP calculation (GGA-PBE) on a geometry-optimized CsHgAu4 structure.

## Properties
formation energy from the elements: -0.01 eV/atom

a = 8.308 Å, b = 8.308 Å, c = 8.308 Å
α = 90.00°, β = 90.00°, γ = 90.00°
Space group F-43m (No. 216)
Unique sites:
Cs (0.000, 0.000, 0.000)
Hg (0.250, 0.250, 0.750)
Au (0.124, 0.124, 0.376)

VASP calculation (GGA-PBE) on a geometry-optimized NdEr5Tm3 structure.

## Properties
formation energy from the elements: 0.06 eV/atom

a = 16.664 Å, b = 9.605 Å, c = 6.937 Å
α = 90.00°, β = 90.00°, γ = 90.00°
Space group Cmcm (No. 63)
Unique sites:
Nd (0.000, 0.195, 0.250)
Er (0.000, 0.141, 0.750)
Er (0.154, 0.346, 0.750)
Er (0.178, 0.322, 0.250)
Tm (0.000, 0.500, 0.000)
Tm (0.170, 0.000, 0.000)

VASP calculation (GGA-PBE) on a geometry-optimized Pr4As2Br3 structure.

## Properties
ΔE_f (raw): -1.591 eV per atom

a = 7.416 Å, b = 4.282 Å, c = 18.127 Å
α = 90.00°, β = 90.06°, γ = 90.00°
Space group C2/m (No. 12)
Unique sites:
Pr (0.001, 0.000, 0.294)
Pr (0.166, 0.500, 0.883)
As (0.167, 0.500, 0.203)
Br (0.000, 0.000, 0.000)
Br (0.166, 0.500, 0.604)

VASP calculation (GGA-PBE) on a geometry-optimized PuClO2 structure.

## Properties
ΔE_f (raw): -2.118 eV per atom

a = 3.6822 Å, b = 3.6822 Å, c = 15.9106 Å
α = 90.00°, β = 90.00°, γ = 120.00°
Space group R-3m (No. 166, hexagonal axes)
Unique sites:
Pu (0.0000, 0.0000, 0.0000)
Cl (0.0000, 0.0000, 0.5000)
O (0.0000, 0.0000, 0.2946)

VASP calculation (GGA-PBE) on a geometry-optimized K2RbAsF6 structure.

## Properties
ΔE_f (raw): -2.539 eV per atom

a = 6.351 Å, b = 6.690 Å, c = 11.007 Å
α = 90.00°, β = 124.50°, γ = 90.00°
Space group P2_1/c (No. 14)
Unique sites:
K (0.224, 0.052, 0.241)
Rb (0.000, 0.000, 0.500)
As (0.500, 0.000, 0.000)
F (0.187, 0.166, 0.954)
F (0.264, 0.747, 0.917)
F (0.411, 0.071, 0.791)

VASP calculation (GGA-PBE) on a geometry-optimized SrRhCl structure.

## Properties
ΔE_f (raw): -1.196 eV per atom

a = 7.159 Å, b = 4.408 Å, c = 11.091 Å
α = 90.00°, β = 102.55°, γ = 90.00°
Space group C2/m (No. 12)
Unique sites:
Sr (0.070, 0.000, 0.216)
Rh (0.176, 0.500, 0.997)
Cl (0.228, 0.000, 0.644)

no.,Fermi-level density of states (states/eV/f.u.)
1,1.1
2,1.1
3,4.2
4,11.5
5,3.7
6,5.6
7,0.0
8,1.9